4
Lattice="-4.8201 0.9046 -1.4534 -4.7898 -1.7199 0.5140 -1.0669 2.8835 3.8628" Properties=species:S:1:pos:R:3 comment="ZrAl2Se | Alexandria via LeMat-Bulk | PBE-GGA | relaxed" energy_ev_per_atom=-5.21 magnetic_moment_mub_per_atom=0.000 e_form_raw_ev_per_atom=-0.33 space_group="No. 8" pbc="T T T"
Se -5.1776 1.2317 1.7229
Zr -7.9959 1.4647 2.0771
Al -0.0706 0.0153 0.0215
Al -2.7711 0.3905 0.5637


18
Lattice="-1.9393 -1.6239 -2.8070 2.9994 -6.7965 4.4028 -8.4436 0.0383 5.8114" Properties=species:S:1:pos:R:3 comment="Np2CuPdS5 | Alexandria via LeMat-Bulk | PBE-GGA | relaxed" energy_ev_per_atom=-7.07 magnetic_moment_mub_per_atom=0.722 e_form_raw_ev_per_atom=-0.87 space_group="No. 36" pbc="T T T"
Np -6.0223 -6.9405 5.6327
Np -5.2589 -2.0004 4.7905
Np -2.0872 -1.4383 2.2741
Np -1.0584 -6.3865 1.8827
Cu -0.7042 -2.0655 -0.8617
Cu -2.5955 -6.3351 5.4582
Pd -3.8984 -5.2953 3.2135
Pd -7.5228 -3.0685 6.9726
S -6.9240 -5.4467 7.9346
S -7.0910 -4.1892 4.7794
S -7.5970 -1.2616 3.4353
S -4.2661 -4.6710 5.6496
S -3.7795 -8.2082 4.8165
S -4.5685 -2.9167 2.3005
S -1.6888 -4.1866 3.5887
S -0.6320 -7.1167 4.5537
S -1.4898 -3.7185 0.6373
S -0.5161 -0.1880 0.4653


4
Lattice="-0.6079 2.0742 -2.4514 -3.1503 -0.8678 0.0637 -1.3804 5.3698 4.8857" Properties=species:S:1:pos:R:3 comment="YTeRu2 | Alexandria via LeMat-Bulk | PBE-GGA | relaxed" energy_ev_per_atom=-6.98 magnetic_moment_mub_per_atom=0.005 e_form_raw_ev_per_atom=0.06 space_group="No. 35" pbc="T T T"
Ru -0.0433 0.1685 0.1533
Ru -2.2006 1.8539 -0.0559
Te -0.6225 2.4213 2.2030
Y -2.9625 4.8173 2.6404


10
Lattice="3.9606 0.0000 0.0000 0.0000 7.0061 0.2977 0.0000 -2.3170 7.5927" Properties=species:S:1:pos:R:3 comment="Cu2SnTeP | Alexandria via LeMat-Bulk | PBE-GGA | relaxed" energy_ev_per_atom=-4.17 magnetic_moment_mub_per_atom=0.000 e_form_raw_ev_per_atom=-0.02 space_group="No. 11" pbc="T T T"
Cu 2.9705 2.1198 5.1625
Cu 0.9902 2.5693 2.7279
Cu 2.9705 3.0633 0.9388
Cu 0.9902 1.6258 6.9516
Sn 0.9902 6.0513 1.5883
Sn 2.9705 -1.3622 6.3021
Te 0.9902 0.5420 4.4428
Te 2.9705 4.1471 3.4476
P 0.9902 1.7882 0.5550
P 2.9705 2.9009 7.3354


5
Lattice="-4.5343 -2.4930 -2.0484 0.6552 -2.9695 2.1635 -3.0751 2.2690 4.0455" Properties=species:S:1:pos:R:3 comment="Tl2ReAsO | Alexandria via LeMat-Bulk | PBE-GGA | relaxed" energy_ev_per_atom=-5.19 magnetic_moment_mub_per_atom=0.014 e_form_raw_ev_per_atom=0.17 space_group="No. 123" pbc="T T T"
Re 0.0000 0.0000 0.0000
Tl -1.5375 1.1345 2.0228
Tl -2.2672 -1.2465 -1.0242
As -3.4771 -1.5967 2.0803
O 0.3276 -1.4847 1.0818


11
Lattice="-5.6242 4.3368 5.2487 -1.5421 -5.7421 -1.4365 2.4913 -6.2417 5.7292" Properties=species:S:1:pos:R:3 comment="Pr7Er2Th2 | Alexandria via LeMat-Bulk | PBE-GGA | relaxed" delta_e_f_ev_per_atom=0.1812 energy_ev_per_atom=-5.04 magnetic_moment_mub_per_atom=0.000 polymorph_energy_mev_per_atom=8 space_group="No. 12" pbc="T T T"
Pr -2.5126 0.4490 2.0742
Pr -0.4227 -7.0382 1.3714
Pr -2.1623 -8.0960 7.4672
Pr -4.2523 -0.6088 8.1700
Pr -2.5927 -2.1863 4.9820
Pr 0.0000 0.0000 0.0000
Pr -2.0823 -5.4607 4.5594
Er -0.6012 -8.7039 4.4193
Er -4.0737 1.0569 5.1221
Th -3.2349 -4.3691 7.9153
Th -1.4401 -3.2778 1.6261


4
Lattice="4.7786 0.0000 0.0000 0.0000 2.6803 0.0107 0.0000 0.2672 4.4716" Properties=species:S:1:pos:R:3 comment="Li2SiMo | Alexandria via LeMat-Bulk | PBE-GGA | relaxed" energy_ev_per_atom=-5.03 magnetic_moment_mub_per_atom=0.000 e_form_raw_ev_per_atom=-0.01 space_group="No. 10" pbc="T T T"
Li 0.0000 2.5287 0.0400
Li 0.0000 1.6255 2.2119
Mo 2.3893 0.7369 1.1206
Si 2.3893 2.2107 3.3618


11
Lattice="-4.2927 -1.6727 -0.4242 2.5665 0.1759 -6.8855 3.1104 -4.2635 5.1164" Properties=species:S:1:pos:R:3 comment="Ti8AlZn2 | Alexandria via LeMat-Bulk | PBE-GGA | relaxed" delta_e_f_ev_per_atom=-0.0134 energy_ev_per_atom=-6.33 magnetic_moment_mub_per_atom=0.000 space_group="No. 12" pbc="T T T"
Ti 0.8632 -4.1153 -3.0918
Ti 0.9850 -5.1094 -0.4041
Ti 2.1208 -2.8530 -1.1514
Ti 0.5340 -1.5904 -4.5835
Ti 0.8501 -4.1699 2.3902
Ti -0.7367 -2.9073 -1.0420
Ti 0.3991 -0.6508 -1.7893
Ti 0.5209 -1.6449 0.8984
Al -2.1464 -0.8363 -0.2121
Zn 2.9443 -2.9076 1.4509
Zn 2.7326 -1.1799 -3.2200